1.
Below is a relaxed CuTcRu2 crystal, with properties calculated at the PBE level.

a = 8.873 Å, b = 8.873 Å, c = 8.873 Å
α = 17.56°, β = 17.56°, γ = 17.56°
Atoms (fractional coordinates):
Cu (0.000, 0.000, 0.000)
Tc (0.500, 0.500, 0.500)
Ru (0.249, 0.249, 0.249)
Ru (0.751, 0.751, 0.751)

Computed properties:
- Theoretical density: 10.882 g cm⁻³
- DOS(E_F): 0.768 states/eV per atom
- Energy above the most stable polymorph in this dataset: 0 meV per atom
- Total moment: 0.0 Bohr magnetons per cell

=====

2.
Below is a relaxed Cu2TcRu crystal, with properties calculated at the PBE level.

a = 2.769 Å, b = 2.769 Å, c = 6.971 Å
α = 90.00°, β = 90.00°, γ = 90.00°
Atoms (fractional coordinates):
Cu (0.000, 0.000, 0.000)
Cu (0.500, 0.500, 0.225)
Tc (0.500, 0.500, 0.731)
Ru (0.000, 0.000, 0.489)

Computed properties:
- Theoretical density: 10.131 g cm⁻³
- DOS(E_F): 0.980 states/eV per atom
- Energy above the most stable polymorph in this dataset: 27 meV per atom
- Total moment: 0.0 Bohr magnetons per cell

=====

3.
Below is a relaxed CuTc2Ru crystal, with properties calculated at the PBE level.

a = 4.294 Å, b = 4.294 Å, c = 4.294 Å
α = 60.00°, β = 60.00°, γ = 60.00°
Atoms (fractional coordinates):
Cu (0.000, 0.000, 0.000)
Tc (0.500, 0.500, 0.500)
Tc (0.750, 0.750, 0.750)
Ru (0.250, 0.250, 0.250)

Computed properties:
- Theoretical density: 10.695 g cm⁻³
- DOS(E_F): 1.113 states/eV per atom
- Energy above the most stable polymorph in this dataset: 151 meV per atom
- Total moment: 0.0 Bohr magnetons per cell

=====

4.
Below is a relaxed CuTcRu3 crystal, with properties calculated at the PBE level.

a = 4.622 Å, b = 4.622 Å, c = 4.622 Å
α = 90.00°, β = 90.00°, γ = 90.00°
Atoms (fractional coordinates):
Cu (0.000, 0.000, 0.000)
Tc (0.500, 0.500, 0.500)
Ru (0.000, 0.500, 0.500)
Ru (0.500, 0.000, 0.500)
Ru (0.500, 0.500, 0.000)

Computed properties:
- Theoretical density: 7.818 g cm⁻³
- DOS(E_F): 1.562 states/eV per atom
- Energy above the most stable polymorph in this dataset: 0 meV per atom
- Total moment: 1.9 Bohr magnetons per cell

=====

5.
Below is a relaxed CuTcRu crystal, with properties calculated at the PBE level.

a = 3.755 Å, b = 6.023 Å, c = 6.023 Å
α = 36.82°, β = 90.00°, γ = 90.00°
Atoms (fractional coordinates):
Cu (0.000, 0.000, 0.000)
Cu (0.500, 0.162, 0.162)
Tc (0.000, 0.325, 0.325)
Tc (0.000, 0.671, 0.671)
Ru (0.500, 0.498, 0.498)
Ru (0.500, 0.833, 0.833)

Computed properties:
- Theoretical density: 10.681 g cm⁻³
- DOS(E_F): 1.087 states/eV per atom
- Energy above the most stable polymorph in this dataset: 93 meV per atom
- Total moment: 0.0 Bohr magnetons per cell

=====

6.
Below is a relaxed CuTcRu2 crystal, with properties calculated at the PBE level.

a = 4.697 Å, b = 4.697 Å, c = 4.598 Å
α = 99.53°, β = 99.53°, γ = 33.48°
Atoms (fractional coordinates):
Cu (0.000, 0.000, 0.000)
Tc (0.755, 0.755, 0.261)
Ru (0.246, 0.246, 0.758)
Ru (0.504, 0.504, 0.498)

Computed properties:
- Theoretical density: 10.954 g cm⁻³
- DOS(E_F): 1.055 states/eV per atom
- Energy above the most stable polymorph in this dataset: 93 meV per atom
- Total moment: 0.0 Bohr magnetons per cell

=====

7.
Below is a relaxed Cu2TcRu crystal, with properties calculated at the PBE level.

a = 2.657 Å, b = 4.020 Å, c = 4.981 Å
α = 90.00°, β = 90.00°, γ = 90.00°
Atoms (fractional coordinates):
Cu (0.000, 0.000, 0.250)
Cu (0.000, 0.000, 0.750)
Tc (0.500, 0.500, 0.000)
Ru (0.500, 0.500, 0.500)

Computed properties:
- Theoretical density: 10.178 g cm⁻³
- DOS(E_F): 1.006 states/eV per atom
- Energy above the most stable polymorph in this dataset: 188 meV per atom
- Total moment: 0.0 Bohr magnetons per cell

=====

8.
Below is a relaxed CuTcRu crystal, with properties calculated at the PBE level.

a = 4.094 Å, b = 4.094 Å, c = 4.094 Å
α = 60.00°, β = 60.00°, γ = 60.00°
Atoms (fractional coordinates):
Cu (0.000, 0.000, 0.000)
Tc (0.500, 0.500, 0.500)
Ru (0.250, 0.250, 0.250)

Computed properties:
- Theoretical density: 8.989 g cm⁻³
- DOS(E_F): 1.157 states/eV per atom
- Energy above the most stable polymorph in this dataset: 531 meV per atom
- Total moment: 0.0 Bohr magnetons per cell

=====

9.
Below is a relaxed TiCuTcRu2 crystal, with properties calculated at the PBE level.

a = 4.431 Å, b = 4.431 Å, c = 4.476 Å
α = 90.00°, β = 90.00°, γ = 90.00°
Atoms (fractional coordinates):
Ti (0.000, 0.000, 0.000)
Cu (0.000, 0.000, 0.500)
Tc (0.500, 0.500, 0.500)
Ru (0.000, 0.500, 0.000)
Ru (0.500, 0.000, 0.000)

Computed properties:
- Theoretical density: 7.775 g cm⁻³
- DOS(E_F): 1.201 states/eV per atom
- E_tot: -6.845 eV per atom
- Total moment: 3.1 Bohr magnetons per cell

=====

10.
Below is a relaxed CuTcRuW crystal, with properties calculated at the PBE level.

a = 4.326 Å, b = 4.326 Å, c = 4.326 Å
α = 60.00°, β = 60.00°, γ = 60.00°
Atoms (fractional coordinates):
Cu (0.000, 0.000, 0.000)
Tc (0.250, 0.250, 0.250)
Ru (0.750, 0.750, 0.750)
W (0.500, 0.500, 0.500)

Computed properties:
- Theoretical density: 12.949 g cm⁻³
- DOS(E_F): 1.013 states/eV per atom
- E_tot: -9.028 eV per atom
- Total moment: 0.0 Bohr magnetons per cell

=====

11.
Below is a relaxed CuTeRu2 crystal, with properties calculated at the PBE level.

a = 4.317 Å, b = 4.317 Å, c = 3.272 Å
α = 90.00°, β = 90.00°, γ = 90.00°
Atoms (fractional coordinates):
Cu (0.000, 0.000, 0.000)
Te (0.500, 0.500, 0.000)
Ru (0.000, 0.500, 0.500)
Ru (0.500, 0.000, 0.500)

Computed properties:
- Theoretical density: 10.711 g cm⁻³
- DOS(E_F): 1.342 states/eV per atom
- Formation energy without anion corrections: 0.33 eV per atom
- Total moment: 0.3 Bohr magnetons per cell

=====

12.
Below is a relaxed CuTeRu2 crystal, with properties calculated at the PBE level.

a = 3.313 Å, b = 3.313 Å, c = 5.760 Å
α = 90.00°, β = 90.00°, γ = 90.00°
Atoms (fractional coordinates):
Cu (0.000, 0.000, 0.000)
Te (0.500, 0.500, 0.722)
Ru (0.000, 0.000, 0.470)
Ru (0.500, 0.500, 0.201)

Computed properties:
- Theoretical density: 10.327 g cm⁻³
- DOS(E_F): 1.040 states/eV per atom
- Formation energy without anion corrections: 0.43 eV per atom
- Total moment: 1.1 Bohr magnetons per cell

=====

13.
Below is a relaxed CuTe2Ru crystal, with properties calculated at the PBE level.

a = 4.815 Å, b = 4.815 Å, c = 4.815 Å
α = 60.00°, β = 60.00°, γ = 60.00°
Atoms (fractional coordinates):
Cu (0.000, 0.000, 0.000)
Te (0.250, 0.250, 0.250)
Te (0.500, 0.500, 0.500)
Ru (0.750, 0.750, 0.750)

Computed properties:
- Theoretical density: 8.831 g cm⁻³
- DOS(E_F): 1.108 states/eV per atom
- Formation energy without anion corrections: 0.81 eV per atom
- Energy above the most stable polymorph in this dataset: 732 meV per atom
- Total moment: 0.0 Bohr magnetons per cell

=====

14.
Below is a relaxed CuTeRu2 crystal, with properties calculated at the PBE level.

a = 7.924 Å, b = 7.924 Å, c = 7.924 Å
α = 22.68°, β = 22.68°, γ = 22.68°
Atoms (fractional coordinates):
Cu (0.000, 0.000, 0.000)
Te (0.500, 0.500, 0.500)
Ru (0.251, 0.251, 0.251)
Ru (0.749, 0.749, 0.749)

Computed properties:
- Theoretical density: 10.067 g cm⁻³
- DOS(E_F): 1.063 states/eV per atom
- Formation energy without anion corrections: 0.53 eV per atom
- Total moment: 0.0 Bohr magnetons per cell

=====

15.
Below is a relaxed CuTeRu2 crystal, with properties calculated at the PBE level.

a = 8.870 Å, b = 8.870 Å, c = 8.870 Å
α = 19.19°, β = 19.19°, γ = 19.19°
Atoms (fractional coordinates):
Cu (0.000, 0.000, 0.000)
Te (0.759, 0.759, 0.759)
Ru (0.254, 0.254, 0.254)
Ru (0.512, 0.512, 0.512)

Computed properties:
- Theoretical density: 9.911 g cm⁻³
- DOS(E_F): 0.915 states/eV per atom
- Formation energy without anion corrections: 0.53 eV per atom
- Total moment: 0.0 Bohr magnetons per cell